10
Lattice="4.9173 0.0000 0.0000 0.0007 8.6034 0.0000 2.4533 3.4584 8.4980" Properties=species:S:1:pos:R:3 comment="PBE AcTb3Dy, optimized geometry" delta_e_f_ev_per_atom=0.15 relative_energy_ev_per_atom=0.0638 n_ef_per_ev_fu=7.41 sg="No. 2" pbc="T T T"
Ac 1.2299 2.2138 2.2930
Ac 6.1414 9.8480 6.2050
Tb 1.2277 7.3440 3.2849
Tb 1.2296 5.5620 0.3896
Tb 3.6845 7.0875 5.6912
Tb 3.6868 4.9742 2.8068
Tb 6.1417 6.4998 8.1084
Tb 6.1436 4.7178 5.2131
Dy 3.6836 3.9851 7.4571
Dy 3.6877 8.0767 1.0409

9
Lattice="3.6264 0.0000 0.0000 -1.8132 3.1406 0.0000 0.0000 0.0000 26.5727" Properties=species:S:1:pos:R:3 comment="PBE AcTb6Dy2, optimized geometry" delta_e_f_ev_per_atom=0.08 relative_energy_ev_per_atom=0.0000 n_ef_per_ev_fu=16.01 sg="No. 187" pbc="T T T"
Ac 0.0000 0.0000 0.0000
Tb 0.0000 0.0000 5.9392
Tb 0.0000 0.0000 11.5675
Tb 0.0000 0.0000 15.0052
Tb 0.0000 0.0000 20.6335
Tb 0.0000 2.0937 3.1283
Tb 0.0000 2.0937 23.4444
Dy 0.0000 2.0937 8.8055
Dy 0.0000 2.0937 17.7671

11
Lattice="3.0982 -5.3701 0.0000 3.0982 5.3701 0.0000 -2.0743 0.0000 11.8192" Properties=species:S:1:pos:R:3 comment="PBE Ac2Tb3Dy6, optimized geometry" delta_e_f_ev_per_atom=0.19 n_ef_per_ev_fu=16.84 sg="No. 12" pbc="T T T"
Ac 3.0982 3.5782 0.0000
Ac 3.0982 -3.5782 0.0000
Tb -1.0371 0.0000 5.9096
Tb 2.0611 1.7702 5.9096
Tb 2.0611 -1.7702 5.9096
Dy -0.0050 1.7874 8.7480
Dy 1.0340 0.0000 3.0699
Dy -0.0050 -1.7874 8.7480
Dy 4.1271 1.7874 3.0712
Dy 3.0881 0.0000 8.7494
Dy 4.1271 -1.7874 3.0712

22
Lattice="2.9178 -4.8423 0.0000 2.9178 4.8423 0.0000 0.0000 0.0000 25.6888" Properties=species:S:1:pos:R:3 comment="PBE AcTb4Dy6, optimized geometry" delta_e_f_ev_per_atom=0.14 n_ef_per_ev_fu=20.50 sg="No. 63" pbc="T T T"
Ac 2.9178 2.9071 19.2666
Ac 2.9178 -2.9071 6.4222
Tb 2.9178 3.3528 1.0785
Tb 2.9178 3.3528 11.7660
Tb 2.9178 0.3781 3.1330
Tb 2.9178 0.3781 9.7114
Tb 2.9178 -0.3781 15.9774
Tb 2.9178 -0.3781 22.5559
Tb 2.9178 -3.3528 13.9229
Tb 2.9178 -3.3528 24.6104
Dy 2.9178 3.5665 4.6075
Dy 2.9178 3.5665 8.2369
Dy 2.9178 2.9462 15.3852
Dy 2.9178 2.9462 23.1480
Dy 2.9178 0.3655 6.4222
Dy 2.9178 0.0000 0.0000
Dy 2.9178 0.0000 12.8444
Dy 2.9178 -0.3655 19.2666
Dy 2.9178 -2.9462 2.5408
Dy 2.9178 -2.9462 10.3036
Dy 2.9178 -3.5665 17.4520
Dy 2.9178 -3.5665 21.0813